[1]
{"formula": "Mn", "functional": "PBE", "state": "optimized geometry", "lattice": [[3.9068, 0.0000, 0.0000], [-1.9534, 3.3834, 0.0000], [0.0000, 0.0000, 2.4557]], "species": ["Mn", "Mn", "Mn"], "fractional_positions": [[0.0000, 0.0000, 0.0000], [0.3333, 0.6667, 0.5000], [0.6667, 0.3333, 0.5000]], "volume_a3_per_atom": 10.82, "e_form_ev_per_atom": 0.111, "rho_g_cm3": 8.431, "polymorph_energy_mev_per_atom": 111.3}

***

[2]
{"formula": "Mn", "functional": "PBE", "state": "optimized geometry", "lattice": [[0.0000, 5.5556, 5.5556], [5.5556, 0.0000, 5.5556], [5.5556, 5.5556, 0.0000]], "species": ["Mn", "Mn", "Mn", "Mn", "Mn", "Mn", "Mn", "Mn", "Mn", "Mn", "Mn", "Mn", "Mn", "Mn", "Mn", "Mn", "Mn", "Mn", "Mn", "Mn", "Mn", "Mn"], "fractional_positions": [[0.1600, 0.1600, 0.1600], [0.1600, 0.1600, 0.5199], [0.1600, 0.5199, 0.1600], [0.1965, 0.1965, 0.8035], [0.1965, 0.8035, 0.1965], [0.1965, 0.8035, 0.8035], [0.2794, 0.5735, 0.5735], [0.3669, 0.3669, 0.3669], [0.3669, 0.3669, 0.8994], [0.3669, 0.8994, 0.3669], [0.5199, 0.1600, 0.1600], [0.5735, 0.2794, 0.5735], [0.5735, 0.5735, 0.2794], [0.5735, 0.5735, 0.5735], [0.6742, 0.6742, 0.6742], [0.6742, 0.6742, 0.9774], [0.6742, 0.9774, 0.6742], [0.8035, 0.1965, 0.1965], [0.8035, 0.1965, 0.8035], [0.8035, 0.8035, 0.1965], [0.8994, 0.3669, 0.3669], [0.9774, 0.6742, 0.6742]], "volume_a3_per_atom": 15.59, "e_form_ev_per_atom": 0.819, "rho_g_cm3": 5.852, "polymorph_energy_mev_per_atom": 819.2}

***

[3]
{"formula": "Mn", "functional": "PBE", "state": "optimized geometry", "lattice": [[-1.3387, 1.3387, 1.5361], [1.3387, -1.3387, 1.5361], [1.3387, 1.3387, -1.5361]], "species": ["Mn"], "fractional_positions": [[0.0000, 0.0000, 0.0000]], "volume_a3_per_atom": 11.01, "e_form_ev_per_atom": 0.147, "rho_g_cm3": 8.285, "polymorph_energy_mev_per_atom": 147.0}

***

[4]
{"formula": "Mn", "functional": "PBE", "state": "optimized geometry", "lattice": [[2.4851, 0.0000, 0.0000], [-1.2426, 2.1522, 0.0000], [0.0000, 0.0000, 4.0139]], "species": ["Mn", "Mn"], "fractional_positions": [[0.3333, 0.6667, 0.2500], [0.6667, 0.3333, 0.7500]], "volume_a3_per_atom": 10.73, "e_form_ev_per_atom": 0.061, "rho_g_cm3": 8.499, "polymorph_energy_mev_per_atom": 61.2}

***

[5]
{"formula": "MnMo", "functional": "PBE", "state": "optimized geometry", "lattice": [[2.6432, 0.0000, 0.0000], [0.0000, 4.2919, 0.0000], [-0.8104, 0.0000, 4.8452]], "species": ["Mn", "Mn", "Mo", "Mo"], "fractional_positions": [[0.1177, 0.2500, 0.3674], [0.8823, 0.7500, 0.6326], [0.3833, 0.7500, 0.1433], [0.6167, 0.2500, 0.8567]], "volume_a3_per_atom": 13.74, "e_form_ev_per_atom": 0.125, "rho_g_cm3": 9.116}

***

[6]
{"formula": "Mn2Mo", "functional": "PBE", "state": "optimized geometry", "lattice": [[4.7111, -1.2984, 0.0000], [4.7111, 1.2984, 0.0000], [-2.2828, 0.0000, 6.1799]], "species": ["Mn", "Mn", "Mn", "Mn", "Mo", "Mo"], "fractional_positions": [[0.0461, 0.0461, 0.2412], [0.3539, 0.3539, 0.9824], [0.6461, 0.6461, 0.0176], [0.9539, 0.9539, 0.7588], [0.3412, 0.3412, 0.3775], [0.6588, 0.6588, 0.6225]], "volume_a3_per_atom": 12.60, "e_form_ev_per_atom": 0.152, "rho_g_cm3": 9.041}

***

[7]
{"formula": "MnMo5", "functional": "PBE", "state": "optimized geometry", "lattice": [[4.9190, -1.5747, 0.0000], [4.9190, 1.5747, 0.0000], [-1.9377, 0.0000, 5.9259]], "species": ["Mn", "Mo", "Mo", "Mo", "Mo", "Mo"], "fractional_positions": [[0.0000, 0.0000, 0.0000], [0.0000, 0.0000, 0.5000], [0.3321, 0.3321, 0.1654], [0.3352, 0.3352, 0.6711], [0.6648, 0.6648, 0.3289], [0.6679, 0.6679, 0.8346]], "volume_a3_per_atom": 15.30, "e_form_ev_per_atom": 0.070, "rho_g_cm3": 9.671, "polymorph_energy_mev_per_atom": 9.7}

***

[8]
{"formula": "MnMo", "functional": "PBE", "state": "optimized geometry", "lattice": [[3.8008, 0.0000, 0.0000], [-1.9004, 3.2916, 0.0000], [0.0000, 0.0000, 4.7223]], "species": ["Mn", "Mn", "Mo", "Mo"], "fractional_positions": [[0.0000, 0.0000, 0.0000], [0.0000, 0.0000, 0.5000], [0.3333, 0.6667, 0.2500], [0.6667, 0.3333, 0.7500]], "volume_a3_per_atom": 14.77, "e_form_ev_per_atom": 0.547, "rho_g_cm3": 8.482}